# 1
Crystalline CaRu2PbI at its relaxed geometry, computed with PBE-GGA.

extended XYZ file:
```
5
Lattice="-4.971 0.429 -0.199 -0.268 -4.770 -3.575 -0.416 -2.970 3.993" Properties=species:S:1:pos:R:3 pbc="T T T"
I -2.828 -3.655 0.109
Pb -0.134 -2.385 -1.788
Ru -0.208 -1.485 1.996
Ru -2.486 0.214 -0.099
Ca 0.000 0.000 0.000
```

Results
total energy	-3.54	eV/atom
formation energy (no corrections)	1.62	eV per atom


# 2
Crystalline Cs4Dy3BiO8 at its relaxed geometry, computed with PBE-GGA.

extended XYZ file:
```
16
Lattice="7.189 0.000 0.000 0.000 8.031 0.578 -3.595 -3.584 5.091" Properties=species:S:1:pos:R:3 pbc="T T T"
O 1.866 2.445 0.501
O 1.729 2.001 5.168
O 5.323 2.445 0.501
O 3.595 0.722 2.950
O -1.729 2.001 5.168
O 3.595 3.747 2.638
O 0.000 3.725 2.720
O 0.000 0.699 3.031
Dy 1.797 2.223 2.835
Dy -1.797 2.223 2.835
Dy 3.595 4.015 0.289
Cs 0.000 0.000 0.000
Cs -1.797 -1.792 2.546
Cs 1.797 -1.792 2.546
Cs 3.595 0.000 0.000
Bi 0.000 4.015 0.289
```

Results
total energy	-6.07	eV/atom
formation energy (no corrections)	-2.28	eV per atom


# 3
Crystalline Y3TaB7 at its relaxed geometry, computed with PBE-GGA.

extended XYZ file:
```
22
Lattice="-1.222 0.838 -3.186 -5.426 -5.650 2.532 -5.381 6.908 3.881" Properties=species:S:1:pos:R:3 pbc="T T T"
Y -1.621 -0.716 0.433
Y -8.358 0.180 1.315
Y -5.037 -0.523 -0.144
Y -10.408 2.812 2.793
Y -3.671 1.916 1.912
Y -6.992 2.619 3.370
Ta -7.349 -2.527 0.216
Ta -4.680 4.623 3.011
B -7.999 -2.204 2.488
B -3.477 -2.635 0.640
B -5.817 0.368 2.327
B -4.030 4.300 0.739
B -2.497 1.677 -0.539
B -6.212 1.728 0.899
B -6.841 4.910 1.978
B -5.736 6.490 1.969
B -6.293 -4.394 1.257
B -6.315 -1.367 2.062
B -5.188 -2.814 1.249
B -8.552 4.732 2.587
B -9.532 0.419 3.765
B -5.714 3.463 1.165
```

Results
energy of formation	-0.60	eV/atom
total energy	-7.69	eV/atom


# 4
Crystalline SrPrTl2 at its relaxed geometry, computed with PBE-GGA.

extended XYZ file:
```
4
Lattice="3.976 0.000 0.000 0.000 3.976 0.000 0.000 0.000 8.175" Properties=species:S:1:pos:R:3 pbc="T T T"
Tl 0.000 0.000 6.228
Tl 0.000 0.000 1.947
Pr 1.988 1.988 0.000
Sr 1.988 1.988 4.087
```

Results
energy of formation	-0.40	eV/atom
total energy	-3.20	eV/atom


# 5
Crystalline PS2NCl at its relaxed geometry, computed with PBE-GGA.

extended XYZ file:
```
5
Lattice="4.918 0.000 0.000 0.000 4.918 0.000 0.000 0.000 3.190" Properties=species:S:1:pos:R:3 pbc="T T T"
S 0.000 2.459 0.000
S 2.459 0.000 0.000
N 0.000 0.000 1.595
P 0.000 0.000 0.000
Cl 2.459 2.459 1.595
```

Results
total energy	-3.86	eV/atom
distance to the lowest polymorph of the same formula	0	meV/atom
formation energy (no corrections)	0.90	eV per atom


# 6
Crystalline InCo2Os at its relaxed geometry, computed with PBE-GGA.

extended XYZ file:
```
4
Lattice="4.099 0.000 0.000 0.000 2.739 0.018 0.000 1.337 4.891" Properties=species:S:1:pos:R:3 pbc="T T T"
Co 0.000 1.851 4.775
Co 2.050 0.505 1.259
In 0.000 1.869 2.236
Os 2.050 3.227 3.984
```

Results
energy of formation	0.31	eV/atom
total energy	-6.74	eV/atom


# 7
Crystalline NbIn3N at its relaxed geometry, computed with PBE-GGA.

extended XYZ file:
```
5
Lattice="-1.692 -1.167 -5.085 5.043 -1.736 -1.279 -1.337 -5.071 1.608" Properties=species:S:1:pos:R:3 pbc="T T T"
Nb 0.000 0.000 0.000
In 2.522 -0.868 -0.640
In -0.846 -0.584 -2.543
In -0.668 -2.535 0.804
N 1.007 -3.987 -2.378
```

Results
total energy	-3.76	eV/atom
distance to the lowest polymorph of the same formula	777	meV/atom
formation energy (no corrections)	1.56	eV per atom


# 8
Crystalline RbPaPtS3 at its relaxed geometry, computed with PBE-GGA.

extended XYZ file:
```
12
Lattice="4.011 0.000 0.000 -2.006 7.450 0.000 0.000 0.000 10.168" Properties=species:S:1:pos:R:3 pbc="T T T"
Rb 2.006 3.669 7.626
Rb 0.000 3.782 2.542
S 0.000 0.927 7.626
S 0.000 5.672 5.591
S 2.006 6.523 2.542
S 0.000 5.672 9.661
S 2.006 1.779 0.507
S 2.006 1.779 4.577
Pa 0.000 0.000 0.000
Pa 0.000 0.000 5.084
Pt 2.006 0.467 2.542
Pt 0.000 6.983 7.626
```

Results
total energy	-6.15	eV/atom
formation energy (no corrections)	-1.34	eV per atom


# 9
Crystalline YSiPd4 at its relaxed geometry, computed with PBE-GGA.

extended XYZ file:
```
12
Lattice="3.837 0.000 0.000 0.000 6.914 0.000 0.000 0.000 7.756" Properties=species:S:1:pos:R:3 pbc="T T T"
Pd 1.919 4.791 3.386
Pd 1.919 4.791 0.492
Pd 1.919 2.122 7.264
Pd 1.919 6.548 5.817
Pd 0.000 0.000 3.878
Pd 1.919 0.366 1.939
Pd 1.919 2.122 4.370
Pd 0.000 0.000 0.000
Si 0.000 5.495 1.939
Si 0.000 1.418 5.817
Y 0.000 2.550 1.939
Y 0.000 4.363 5.817
```

Results
total energy	-6.22	eV/atom
formation energy (no corrections)	-0.77	eV per atom


# 10
Crystalline BaZn2Si at its relaxed geometry, computed with PBE-GGA.

extended XYZ file:
```
8
Lattice="-0.922 3.086 3.951 1.334 -3.721 3.218 8.138 2.336 3.364" Properties=species:S:1:pos:R:3 pbc="T T T"
Si 0.206 -0.317 3.584
Si 4.839 -0.851 5.083
Zn 2.523 -0.586 4.331
Zn 6.131 2.124 7.993
Zn 1.855 1.278 2.727
Zn 6.591 0.586 6.014
Ba 3.711 2.552 5.449
Ba 0.000 0.000 0.000
```

Results
total energy	-2.61	eV/atom
formation energy (no corrections)	-0.14	eV per atom


# 11
Crystalline LiO2 at its relaxed geometry, computed with PBE-GGA.

extended XYZ file:
```
3
Lattice="-1.931 0.660 -2.013 1.831 -0.848 -2.036 -1.514 -3.811 2.244" Properties=species:S:1:pos:R:3 pbc="T T T"
Li -0.050 -0.094 -2.024
O -1.358 -3.360 -1.841
O -0.256 -0.639 0.036
```

Results
total energy	-4.78	eV/atom
distance to the lowest polymorph of the same formula	78	meV/atom
formation energy (no corrections)	-0.84	eV per atom


# 12
Crystalline Tb2MnRu3 at its relaxed geometry, computed with PBE-GGA.

extended XYZ file:
```
12
Lattice="5.390 0.000 0.000 -2.695 4.668 0.000 0.000 0.000 8.505" Properties=species:S:1:pos:R:3 pbc="T T T"
Tb 2.695 1.556 3.685
Tb 0.000 3.112 4.820
Tb 2.695 1.556 0.568
Tb 0.000 3.112 7.937
Mn 0.000 0.000 4.253
Mn 0.000 0.000 0.000
Ru 1.321 3.875 2.126
Ru 2.695 3.082 6.379
Ru 1.374 0.793 6.379
Ru 4.017 0.793 6.379
Ru 0.000 1.586 2.126
Ru -1.321 3.875 2.126
```

Results
energy of formation	-0.26	eV/atom
total energy	-7.97	eV/atom